Entry from Alexandria via LeMat-Bulk: DySb2 after structural relaxation (PBE-GGA).

Summary:
ΔE_f (raw) (eV/atom): -0.21
Calculated total energy (eV/atom): -4.489

Cell and atoms, written as POSCAR:
```
DySb2
1.0
1.7837 -3.1658 0.0000
1.7837 3.1658 0.0000
0.0000 0.0000 7.5592
Dy Sb
1 2
Direct
0.0000 0.0000 0.0000
0.0000 0.5000 0.3251
0.5000 0.0000 0.6749
```